# 1
A plane-wave DFT calculation with PBE was carried out for a relaxed structure of TbNdSi4Ni2.

Geometry as POSCAR:
```
TbNdSi4Ni2
1.0
4.100 0.000 0.000
0.000 4.025 0.000
-2.029 0.000 8.147
Tb Nd Si Ni
1 1 4 2
Cartesian
0.000 0.000 0.000 Tb
0.009 2.013 3.449 Nd
0.014 0.000 5.827 Si
2.051 2.013 1.058 Si
2.057 0.000 2.373 Si
2.074 2.013 5.833 Si
0.022 2.013 6.952 Ni
2.064 0.000 4.681 Ni
```

- Spin magnetization: 0.0 μB/f.u.
- Space group: Pm
- Uncorrected energy: -48.87 eV/f.u.



# 2
A plane-wave DFT calculation with PBE was carried out for a relaxed structure of NdSi2TcNi.

Geometry as POSCAR:
```
NdSi2TcNi
1.0
-2.046 2.046 5.037
2.046 -2.046 5.037
2.046 2.046 -5.037
Nd Si Tc Ni
1 2 1 1
Cartesian
0.000 0.000 0.000 Nd
0.000 0.000 3.742 Si
0.000 0.000 6.331 Si
0.000 2.046 2.518 Tc
2.046 0.000 2.518 Ni
```

- Spin magnetization: 0.0 μB/f.u.
- Space group: I-4m2
- Uncorrected energy: -35.14 eV/f.u.



# 3
A plane-wave DFT calculation with PBE was carried out for a relaxed structure of NdTmSi4Ni2.

Geometry as POSCAR:
```
NdTmSi4Ni2
1.0
4.003 0.000 0.000
0.000 2.025 8.188
0.000 -2.025 8.188
Nd Tm Si Ni
1 1 4 2
Cartesian
0.000 0.000 0.000 Nd
2.002 0.000 3.468 Tm
0.000 0.000 5.776 Si
0.000 0.000 10.592 Si
2.002 0.000 9.280 Si
2.002 0.000 13.973 Si
0.000 0.000 12.829 Ni
2.002 0.000 6.953 Ni
```

- Spin magnetization: 0.0 μB/f.u.
- Space group: Amm2
- Uncorrected energy: -48.57 eV/f.u.



# 4
A plane-wave DFT calculation with PBE was carried out for a relaxed structure of NdYSi4Ni2.

Geometry as POSCAR:
```
NdYSi4Ni2
1.0
4.099 0.000 0.000
0.000 4.029 0.000
-2.026 0.000 8.171
Nd Y Si Ni
1 1 4 2
Cartesian
0.000 0.000 0.000 Nd
2.064 2.015 4.705 Y
-0.004 2.015 2.382 Si
0.016 0.000 5.768 Si
0.019 2.015 7.085 Si
2.079 0.000 2.384 Si
0.028 0.000 3.516 Ni
2.045 2.015 1.223 Ni
```

- Spin magnetization: 0.0 μB/f.u.
- Space group: Pm
- Uncorrected energy: -50.69 eV/f.u.



# 5
A plane-wave DFT calculation with PBE was carried out for a relaxed structure of NdYSi4Ni2.

Geometry as POSCAR:
```
NdYSi4Ni2
1.0
4.020 0.000 0.000
0.000 2.039 8.194
0.000 -2.039 8.194
Nd Y Si Ni
1 1 4 2
Cartesian
0.000 0.000 0.000 Nd
2.010 0.000 3.468 Y
0.000 0.000 5.793 Si
0.000 0.000 10.600 Si
2.010 0.000 9.279 Si
2.010 0.000 13.996 Si
0.000 0.000 12.856 Ni
2.010 0.000 6.957 Ni
```

- Spin magnetization: 0.0 μB/f.u.
- Space group: Amm2
- Uncorrected energy: -50.69 eV/f.u.



# 6
A plane-wave DFT calculation with PBE was carried out for a relaxed structure of NdSmNi.

Geometry as POSCAR:
```
NdSmNi
1.0
0.000 3.432 3.432
3.432 0.000 3.432
3.432 3.432 0.000
Nd Sm Ni
1 1 1
Cartesian
0.000 0.000 0.000 Nd
3.432 3.432 3.432 Sm
1.716 1.716 1.716 Ni
```

- Energy relative to the lowest polymorph listed for this composition: 0.000 eV per atom
- Spin magnetization: 0.0 μB/f.u.
- Space group: F-43m
- ΔE_f: -59 meV/atom



# 7
A plane-wave DFT calculation with PBE was carried out for a relaxed structure of NdSmNi2Sn.

Geometry as POSCAR:
```
NdSmNi2Sn
1.0
3.746 0.000 0.000
0.000 2.030 7.007
0.000 -2.030 7.007
Nd Sm Ni Sn
1 1 2 1
Cartesian
0.000 0.000 0.000 Nd
0.000 0.000 3.797 Sm
1.873 0.000 6.108 Ni
1.873 0.000 11.673 Ni
1.873 0.000 8.920 Sn
```

- Spin magnetization: 0.0 μB/f.u.
- Space group: Amm2
- Uncorrected energy: -27.33 eV/f.u.



# 8
A plane-wave DFT calculation with PBE was carried out for a relaxed structure of Nd3Sm3NiTe2.

Geometry as POSCAR:
```
Nd3Sm3NiTe2
1.0
8.648 0.000 0.000
-4.324 7.490 0.000
0.000 0.000 3.971
Nd Sm Ni Te
3 3 1 2
Cartesian
-3.290 5.698 0.000 Nd
1.035 1.792 0.000 Nd
6.579 0.000 0.000 Nd
-1.790 3.100 1.986 Sm
3.579 0.000 1.986 Sm
2.535 4.390 1.986 Sm
0.000 0.000 1.986 Ni
0.000 4.993 0.000 Te
4.324 2.497 0.000 Te
```

- Energy relative to the lowest polymorph listed for this composition: 0.027 eV per atom
- Spin magnetization: 0.0 μB/f.u.
- Space group: P-62m



# 9
A plane-wave DFT calculation with PBE was carried out for a relaxed structure of Nd3Sm3NiTe2.

Geometry as POSCAR:
```
Nd3Sm3NiTe2
1.0
8.627 0.000 0.000
-4.313 7.471 0.000
0.000 0.000 3.995
Nd Sm Ni Te
3 3 1 2
Cartesian
-1.779 3.082 0.000 Nd
3.558 0.000 0.000 Nd
2.534 4.389 0.000 Nd
-3.287 5.693 1.998 Sm
1.026 1.778 1.998 Sm
6.574 0.000 1.998 Sm
0.000 0.000 0.000 Ni
0.000 4.981 1.998 Te
4.313 2.490 1.998 Te
```

- Energy relative to the lowest polymorph listed for this composition: 0.000 eV per atom
- Spin magnetization: 0.0 μB/f.u.
- Space group: P-62m



# 10
A plane-wave DFT calculation with PBE was carried out for a relaxed structure of NdSm2Tl3Ni3.

Geometry as POSCAR:
```
NdSm2Tl3Ni3
1.0
3.887 0.000 0.000
0.000 6.599 3.816
0.000 -6.599 3.816
Nd Sm Tl Ni
1 2 3 3
Cartesian
0.000 0.000 0.000 Nd
0.000 -2.713 2.923 Sm
0.000 2.713 2.923 Sm
1.944 0.000 2.542 Tl
1.944 -1.705 5.466 Tl
1.944 1.705 5.466 Tl
0.000 0.000 4.489 Ni
1.944 -4.389 4.494 Ni
1.944 4.389 4.494 Ni
```

- Spin magnetization: 0.0 μB/f.u.
- Space group: Amm2
- Uncorrected energy: -40.98 eV/f.u.



# 11
A plane-wave DFT calculation with PBE was carried out for a relaxed structure of Nd3Ni2Sn4.

Geometry as POSCAR:
```
Nd3Ni2Sn4
1.0
5.741 -2.263 0.000
5.741 2.263 0.000
-2.220 0.000 8.444
Nd Ni Sn
3 2 4
Cartesian
0.000 0.000 0.000 Nd
3.599 0.000 2.626 Nd
5.662 0.000 5.819 Nd
2.076 0.000 5.153 Ni
7.185 0.000 3.292 Ni
0.192 0.000 3.307 Sn
1.346 0.000 7.702 Sn
7.916 0.000 0.742 Sn
9.069 0.000 5.137 Sn
```

- Spin magnetization: 0.0 μB/f.u.
- Space group: C2/m
- Uncorrected energy: -47.35 eV/f.u.



# 12
A plane-wave DFT calculation with PBE was carried out for a relaxed structure of NdNiSn2.

Geometry as POSCAR:
```
NdNiSn2
1.0
2.251 -15.491 0.000
2.251 15.491 0.000
0.000 0.000 3.172
Nd Ni Sn
2 2 4
Cartesian
2.251 11.748 0.000 Nd
2.251 -11.748 0.000 Nd
2.251 8.480 0.000 Ni
2.251 -8.480 0.000 Ni
2.251 5.950 0.000 Sn
2.251 1.421 0.000 Sn
2.251 -1.421 0.000 Sn
2.251 -5.950 0.000 Sn
```

- Spin magnetization: 0.1 μB/f.u.
- Space group: Cmmm
- Uncorrected energy: -17.82 eV/f.u.